PBE YTl, optimized geometry; uncorrected energy = -4.7947 eV/atom; ρ = 8.9 g/cm3; volume = 27.38 Å³/atom
1.0
3.797 0.000 0.000
0.000 3.797 0.000
0.000 0.000 3.797
Y Tl
1 1
Direct
0.000 0.000 0.000
0.500 0.500 0.500